The following is a PBE-GGA calculation of crystalline Y2Cd3Au2 at its relaxed geometry, from Alexandria via LeMat-Bulk.

Geometry as extended XYZ:
```
7
Lattice="3.983 0.000 0.000 -1.992 5.302 0.195 0.000 -0.975 7.760" Properties=species:S:1:pos:R:3 pbc="T T T"
Cd 0.000 3.143 1.083
Y 1.992 0.939 2.702
Au 1.992 3.888 3.006
Y 0.000 3.388 5.254
Au 0.000 0.439 4.950
Cd 0.000 0.000 0.000
Cd 1.992 1.183 6.873
```

Calculated values
Formation enthalpy at 0 K (eV/atom): -0.512
Energy above the most stable polymorph in this dataset (meV/atom): 35.0